Record 1
A plane-wave DFT calculation with GGA-PBE was carried out for crystalline ZrCu3N at its relaxed geometry.

Relative energy among the computed polymorphs (eV/atom): 2.1170
Raw formation energy (eV per atom): 2.5445
DOS(E_F) (states/eV/cell): 9.65

a b c (Å): 4.866 4.866 4.866
angles (deg): 90.00 90.00 90.00
Positions (direct):
Zr: 0.000 0.000 0.000
Cu: 0.000 0.000 0.500
Cu: 0.000 0.500 0.000
Cu: 0.500 0.000 0.000
N: 0.500 0.500 0.500



Record 2
A plane-wave DFT calculation with GGA-PBE was carried out for crystalline ZrCuN2 at its relaxed geometry.

Relative energy among the computed polymorphs (eV/atom): 1.2095
Raw formation energy (eV per atom): 0.7307
DOS(E_F) (states/eV/cell): 2.41

a b c (Å): 6.281 6.281 6.281
angles (deg): 29.24 29.24 29.24
Positions (direct):
Zr: 0.000 0.000 0.000
Cu: 0.500 0.500 0.500
N: 0.116 0.116 0.116
N: 0.884 0.884 0.884